1.
Crystalline RbBa3Pt at its relaxed geometry. Source: Alexandria, functional PBE-GGA.

total magnetic moment: 0.000 μB/f.u.
ΔE_f: -179 kJ/mol of formula units
space group: C2/c, No. 15
crystal system: monoclinic

Cell: 12.1231 12.1231 8.1081 Å, 90.02 90.02 101.83°
Sites, in units of the cell vectors:
Rb 0.0636 0.1925 0.4033
Rb 0.1925 0.0636 0.9033
Rb 0.8075 0.9364 0.0967
Rb 0.9364 0.8075 0.5967
Ba 0.0779 0.6779 0.0983
Ba 0.2072 0.5673 0.5782
Ba 0.3221 0.9221 0.4017
Ba 0.3279 0.4533 0.0801
Ba 0.4327 0.7928 0.9218
Ba 0.4533 0.3279 0.5801
Ba 0.5467 0.6721 0.4199
Ba 0.5673 0.2072 0.0782
Ba 0.6721 0.5467 0.9199
Ba 0.6779 0.0779 0.5983
Ba 0.7928 0.4327 0.4218
Ba 0.9221 0.3221 0.9017
Pt 0.3109 0.6891 0.2500
Pt 0.4377 0.5623 0.7500
Pt 0.5623 0.4377 0.2500
Pt 0.6891 0.3109 0.7500


2.
Crystalline ZnSbPI2 at its relaxed geometry. Source: Alexandria, functional PBE-GGA.

total magnetic moment: 1.438 μB/f.u.
space group: P4/mmm, No. 123
crystal system: tetragonal
raw formation energy: 0.772 eV per atom

Cell: 5.4412 5.4412 5.5207 Å, 90.00 90.00 90.00°
Sites, in units of the cell vectors:
Zn 0.0000 0.0000 0.0000
Sb 0.0000 0.0000 0.5000
P 0.5000 0.5000 0.5000
I 0.0000 0.5000 0.0000
I 0.5000 0.0000 0.0000


| no. | mass density (g/cm³) | calculated total energy (eV per atom) |
| --- | --- | --- |
| 1 | 3.9 | -2.93 |
| 2 | 4.8 | -2.01 |